a.
Density functional theory data (GGA-PBE) for a geometry-optimized Fe2PtW structure.

POSCAR file:
```
Fe2PtW
1.0
2.706 -3.712 0.000
2.706 3.712 0.000
0.000 0.000 2.716
Fe Pt W
2 1 1
Direct
0.000 0.500 0.000 Fe
0.500 0.000 0.000 Fe
0.000 0.000 0.500 Pt
0.500 0.500 0.500 W
```

## Properties
Space-group type = Cmmm (65)
Magnetization = 3.60 μB per formula unit
Calculated volume = 55 Å³ per cell

b.
Density functional theory data (GGA-PBE) for a geometry-optimized Fe2PtW structure.

POSCAR file:
```
Fe2PtW
1.0
0.000 3.043 3.043
3.043 0.000 3.043
3.043 3.043 0.000
Fe Pt W
2 1 1
Direct
0.000 0.000 0.000 Fe
0.250 0.250 0.250 Fe
0.750 0.750 0.750 Pt
0.500 0.500 0.500 W
```

## Properties
Space-group type = F-43m (216)
Magnetization = 4.83 μB per formula unit
Calculated volume = 56 Å³ per cell

Here are the energies relative to the best structure, in meV per atom: a 0; b 77.

a.
Density functional theory data (GGA-PBE) for a geometry-optimized Fe2PtW structure.

POSCAR file:
```
Fe2PtW
1.0
4.472 -1.352 0.000
4.472 1.352 0.000
-0.765 0.000 4.557
Fe Pt W
2 1 1
Direct
0.000 0.000 0.000 Fe
0.748 0.748 0.234 Fe
0.493 0.493 0.489 Pt
0.244 0.244 0.747 W
```

## Properties
Space-group type = Cm (8)
Magnetization = 4.21 μB per formula unit
Calculated volume = 55 Å³ per cell

b.
Density functional theory data (GGA-PBE) for a geometry-optimized Fe2PtW structure.

POSCAR file:
```
Fe2PtW
1.0
-1.876 1.876 3.835
1.876 -1.876 3.835
1.876 1.876 -3.835
Fe Pt W
2 1 1
Direct
0.000 0.000 0.000 Fe
0.750 0.250 0.500 Fe
0.500 0.500 0.000 Pt
0.250 0.750 0.500 W
```

## Properties
Space-group type = I-4m2 (119)
Magnetization = 3.28 μB per formula unit
Calculated volume = 54 Å³ per cell

Here are the energies relative to the best structure, in meV per atom: a 102; b 0.